# La2Tb5Ho3 (PBE-GGA, optimized geometry)
# electronic total energy	-4.480	eV per atom
# magnetic moment	0.00	μB per formula unit
# crystal system	monoclinic
data_La2Tb5Ho3
_chemical_formula_sum 'La8 Tb20 Ho12'
_symmetry_space_group_name_H-M 'C 1 2/c 1'
_symmetry_Int_Tables_number 15
_symmetry_space_group_name_Hall '-C 2yc'
_cell_length_a 10.697
_cell_length_b 16.207
_cell_length_c 9.371
_cell_angle_alpha 90.00
_cell_angle_beta 124.65
_cell_angle_gamma 90.00
loop_
_atom_site_label
_atom_site_fract_x
_atom_site_fract_y
_atom_site_fract_z
_atom_site_occupancy
La1 0.141 0.127 0.047 1
Tb1 0.000 0.230 0.250 1
Tb2 0.000 0.275 0.750 1
Tb3 0.000 0.471 0.750 1
Tb4 0.230 0.382 0.218 1
Ho1 0.000 0.023 0.250 1
Ho2 0.157 0.379 0.547 1